Computed, not measured: a geometry-optimized NiP2H2O7 structure at the PBE+U level of DFT.

Computed properties:
Calculated total energy = -6.3234 eV per atom
Size of the total moment = 1.9 μB/f.u.
N(E_F) = 0.00 states/eV per atom
Crystal system = monoclinic

Cell lengths 8.9101, 13.0352, 9.6969 Å; angles 90.00, 106.49, 90.00 degrees
Fractional coordinates of all 96 atoms:
1 Ni 0.2494 0.2482 0.2492
2 Ni 0.2494 0.2518 0.7492
3 Ni 0.2498 0.0928 0.5006
4 Ni 0.2498 0.4072 0.0006
5 Ni 0.7502 0.5928 0.9994
6 Ni 0.7502 0.9072 0.4994
7 Ni 0.7506 0.7482 0.2508
8 Ni 0.7506 0.7518 0.7508
9 P 0.0021 0.2129 0.9319
10 P 0.0021 0.2871 0.4319
11 P 0.0342 0.0464 0.7213
12 P 0.0342 0.4536 0.2213
13 P 0.4634 0.0417 0.2790
14 P 0.4634 0.4583 0.7790
15 P 0.4945 0.2079 0.0656
16 P 0.4945 0.2921 0.5656
17 P 0.5055 0.7079 0.4344
18 P 0.5055 0.7921 0.9344
19 P 0.5366 0.5417 0.2210
20 P 0.5366 0.9583 0.7210
21 P 0.9658 0.5464 0.7787
22 P 0.9658 0.9536 0.2787
23 P 0.9979 0.7129 0.5681
24 P 0.9979 0.7871 0.0681
25 H 0.0464 0.5924 0.3517
26 H 0.0464 0.9076 0.8517
27 H 0.2187 0.7321 0.0269
28 H 0.2187 0.7679 0.5269
29 H 0.2764 0.7448 0.7973
30 H 0.2764 0.7552 0.2973
31 H 0.4528 0.6010 0.6577
32 H 0.4528 0.8990 0.1577
33 H 0.5472 0.1010 0.8423
34 H 0.5472 0.3990 0.3423
35 H 0.7236 0.2448 0.7027
36 H 0.7236 0.2552 0.2027
37 H 0.7813 0.2321 0.4731
38 H 0.7813 0.2679 0.9731
39 H 0.9536 0.0924 0.1483
40 H 0.9536 0.4076 0.6483
41 O 0.0380 0.6188 0.6759
42 O 0.0380 0.8812 0.1759
43 O 0.0583 0.1781 0.0872
44 O 0.0583 0.3219 0.5872
45 O 0.1014 0.5158 0.9009
46 O 0.1014 0.9842 0.4009
47 O 0.1138 0.2160 0.3844
48 O 0.1138 0.2840 0.8844
49 O 0.1185 0.5421 0.3231
50 O 0.1185 0.9579 0.8231
51 O 0.1586 0.1108 0.6798
52 O 0.1586 0.3892 0.1798
53 O 0.1657 0.7343 0.1045
54 O 0.1657 0.7657 0.6045
55 O 0.3328 0.7459 0.9017
56 O 0.3328 0.7541 0.4017
57 O 0.3400 0.1072 0.3200
58 O 0.3400 0.3928 0.8200
59 O 0.3801 0.5529 0.6897
60 O 0.3801 0.9471 0.1897
61 O 0.3861 0.2195 0.6151
62 O 0.3861 0.2805 0.1151
63 O 0.3951 0.5175 0.1007
64 O 0.3951 0.9825 0.6007
65 O 0.4411 0.1816 0.9073
66 O 0.4411 0.3184 0.4073
67 O 0.4772 0.6078 0.3385
68 O 0.4772 0.8922 0.8385
69 O 0.5228 0.1078 0.1615
70 O 0.5228 0.3922 0.6615
71 O 0.5589 0.6816 0.5927
72 O 0.5589 0.8184 0.0927
73 O 0.6049 0.0175 0.3993
74 O 0.6049 0.4825 0.8993
75 O 0.6139 0.7195 0.8849
76 O 0.6139 0.7805 0.3849
77 O 0.6199 0.0529 0.8103
78 O 0.6199 0.4471 0.3103
79 O 0.6600 0.6072 0.1800
80 O 0.6600 0.8928 0.6800
81 O 0.6672 0.2459 0.5983
82 O 0.6672 0.2541 0.0983
83 O 0.8343 0.2343 0.3955
84 O 0.8343 0.2657 0.8955
85 O 0.8414 0.6108 0.8202
86 O 0.8414 0.8892 0.3202
87 O 0.8815 0.0421 0.1769
88 O 0.8815 0.4579 0.6769
89 O 0.8862 0.7160 0.1156
90 O 0.8862 0.7840 0.6156
91 O 0.8986 0.0158 0.5991
92 O 0.8986 0.4842 0.0991
93 O 0.9417 0.6781 0.4128
94 O 0.9417 0.8219 0.9128
95 O 0.9620 0.1188 0.8241
96 O 0.9620 0.3812 0.3241